# SrPaAsN

A relaxed structure of SrPaAsN (PBE, the Alexandria database).

abc: 3.862 3.862 7.115
angles: 74.25 74.25 60.00
Each line ends with the local moment (μB).
Sites, in units of the cell vectors:
Sr 0.507 0.507 0.479  0.04
Pa 0.983 0.983 0.051  0.30
As 0.739 0.739 0.784  -0.01
N 0.271 0.271 0.186  -0.02

Properties
space group = R3m
size of the total moment = 0.13 μB/atom
raw formation energy = -1.128 eV/atom

# TbPaAsN2

A relaxed structure of TbPaAsN2 (PBE, the Alexandria database).

abc: 3.887 3.887 6.880
angles: 106.41 106.41 90.00
Sites, in units of the cell vectors:
Tb 0.842 0.842 0.684
N 0.244 0.744 0.488
N 0.744 0.244 0.488
As 0.504 0.504 0.009
Pa 0.166 0.166 0.331

Properties
space group = I4mm
size of the total moment = 0.00 μB/atom
raw formation energy = -1.413 eV/atom

# PaTcAs2N

A relaxed structure of PaTcAs2N (PBE, the Alexandria database).

abc: 3.623 3.623 14.263
angles: 90.00 90.00 90.00
Sites, in units of the cell vectors:
N 0.000 0.000 0.500
N 0.500 0.500 0.500
As 0.500 0.000 0.291
As 0.500 0.000 0.935
As 0.000 0.500 0.065
As 0.000 0.500 0.709
Tc 0.000 0.500 0.881
Tc 0.500 0.000 0.119
Pa 0.000 0.500 0.408
Pa 0.500 0.000 0.592

Properties
space group = P4/nmm
size of the total moment = 0.01 μB/atom
raw formation energy = -0.587 eV/atom

# PaTe2AsN

A relaxed structure of PaTe2AsN (PBE, the Alexandria database).

abc: 4.065 4.065 14.278
angles: 90.00 90.00 90.00
Each line ends with the local moment (μB).
Sites, in units of the cell vectors:
Te 0.000 0.500 0.697  -0.01
Te 0.500 0.000 0.895  0.00
Te 0.000 0.500 0.105  0.00
Te 0.500 0.000 0.303  -0.01
Pa 0.000 0.500 0.421  0.27
Pa 0.500 0.000 0.579  0.27
N 0.500 0.500 0.500  -0.02
N 0.000 0.000 0.500  -0.02
As 0.000 0.500 0.905  0.00
As 0.500 0.000 0.095  0.00

Properties
space group = P4/nmm
size of the total moment = 0.05 μB/atom
raw formation energy = -0.854 eV/atom

# Th2PaAs2N2

A relaxed structure of Th2PaAs2N2 (PBE, the Alexandria database).

abc: 3.997 6.447 6.829
angles: 65.73 72.98 71.94
Sites, in units of the cell vectors:
N 0.804 0.313 0.079
N 0.196 0.687 0.921
Th 0.814 0.638 0.735
Th 0.186 0.362 0.265
As 0.566 0.208 0.661
As 0.434 0.792 0.339
Pa 0.000 0.000 0.000

Properties
space group = C2/m
size of the total moment = 0.00 μB/atom
raw formation energy = -1.548 eV/atom

# ThPaAsN

A relaxed structure of ThPaAsN (PBE, the Alexandria database).

abc: 4.249 4.249 9.405
angles: 90.00 90.00 90.00
Sites, in units of the cell vectors:
Th 0.000 0.000 0.500
Th 0.500 0.500 0.500
Pa 0.500 0.000 0.107
Pa 0.000 0.500 0.893
N 0.000 0.000 0.000
N 0.500 0.500 0.000
As 0.000 0.500 0.265
As 0.500 0.000 0.735

Properties
space group = P4/nmm
size of the total moment = 0.00 μB/atom
raw formation energy = -0.998 eV/atom

What is the raw formation energy in the second record? -1.413 eV/atom